Rb2InMoF6 (PBE+U, relaxed); density of states at the Fermi level = 0.00 states/eV per cell; calculated total energy = -96.205 eV for the cell shown
1.0
6.428 0.000 0.000
0.000 9.302 0.000
0.000 0.000 6.993
Rb In Mo F
4 2 2 12
Direct
0.250 0.021 0.217
0.250 0.479 0.217
0.750 0.521 0.783
0.750 0.979 0.783
0.250 0.250 0.716
0.750 0.750 0.284
0.250 0.750 0.795
0.750 0.250 0.205
0.011 0.750 0.591
0.017 0.750 0.010
0.250 0.523 0.805
0.250 0.977 0.805
0.483 0.750 0.010
0.489 0.750 0.591
0.511 0.250 0.409
0.517 0.250 0.990
0.750 0.023 0.195
0.750 0.477 0.195
0.983 0.250 0.990
0.989 0.250 0.409